Record 1
Computed, not measured: crystalline MgTa2Rh at its relaxed geometry at the PBE level of DFT.

Cell lengths 5.5696, 8.5689, 2.8534 Å; angles 90.00, 90.00, 90.00 degrees
With the nearest neighbours (Å) after each atom.
Space group Cmmm (No. 65)
Symmetry-distinct sites (fractional):
Mg: 0.0000 0.0000 0.0000 x2  2 Rh 2.78, 2 Mg 2.85, 8 Ta 2.93
Ta: 0.2500 0.2500 0.5000 x4  4 Ta 2.78-2.85, 4 Mg 2.93, 4 Rh 2.93
Rh: 0.0000 0.5000 0.0000 x2  2 Mg 2.78, 2 Rh 2.85, 8 Ta 2.93

Properties
formation energy from the elements = 0.016 eV per atom
electronic total energy = -65.18 eV/cell


Record 2
Computed, not measured: crystalline Mg2TaRh at its relaxed geometry at the PBE level of DFT.

Cell lengths 4.6088, 4.6088, 3.2222 Å; angles 90.00, 90.00, 90.00 degrees
With the nearest neighbours (Å) after each atom.
Space group P4/mmm (No. 123)
Symmetry-distinct sites (fractional):
Mg: 0.0000 0.5000 0.0000 x2  4 Ta 2.81, 4 Rh 2.81
Ta: 0.0000 0.0000 0.5000 x1  8 Mg 2.81
Rh: 0.5000 0.5000 0.5000 x1  8 Mg 2.81

Properties
distance to the lowest polymorph of the same formula = 0.479 eV per atom
formation energy from the elements = 0.260 eV per atom
electronic total energy = -21.35 eV/cell


Record 3
Computed, not measured: crystalline Mg2TaRh at its relaxed geometry at the PBE level of DFT.

Cell lengths 9.2525, 2.8752, 5.3277 Å; angles 90.00, 97.71, 90.00 degrees
With the nearest neighbours (Å) after each atom.
Space group Cm (No. 8)
Symmetry-distinct sites (fractional):
Mg: 0.0000 0.0000 0.0000 x2  5 Mg 2.69-2.95, 1 Ta 2.89, 2 Rh 2.92
Mg: 0.2387 0.0000 0.7625 x2  5 Mg 2.69-2.95, 2 Rh 2.85, 2 Ta 2.93
Ta: 0.2578 0.5000 0.2898 x2  3 Rh 2.66-2.78, 2 Ta 2.88, 3 Mg 2.89-2.93
Rh: 0.0056 0.5000 0.4785 x2  3 Ta 2.66-2.78, 4 Mg 2.85-2.92, 2 Rh 2.88

Properties
distance to the lowest polymorph of the same formula = 0.165 eV per atom
formation energy from the elements = -0.054 eV per atom
electronic total energy = -45.22 eV/cell